Entry from the Alexandria database: a relaxed HgAsPd2 crystal (PBE).

Unit cell a=7.685 b=6.636 c=5.870 alpha=90.00 beta=90.28 gamma=90.00
Space group P2_1/c (No. 14)
Unique sites:
Hg1 0.104 0.110 0.216 [4 per cell]
As1 0.381 0.556 0.306 [4 per cell]
Pd1 0.185 0.712 0.013 [4 per cell]
Pd2 0.408 0.200 0.489 [4 per cell]

Computed properties:
energy of formation from the pure elements: -0.269 eV/atom